Record 1
A plane-wave DFT calculation with PBE-GGA was carried out for an optimized crystal structure of ScIn2BiO6.

Results
The calculation puts the density at 7.0 g/cm3. Its space group is R3 (146). The calculation puts the energy relative to the elements, uncorrected at -1.92 eV per atom.

Cell: 5.949 5.949 5.949 Å, 56.82 56.82 56.82°
Positions (direct):
Sc1 0.000 0.000 0.000
In1 0.293 0.293 0.293
In2 0.788 0.788 0.788
Bi1 0.510 0.510 0.510
O1 0.087 0.704 0.389
O2 0.162 0.605 0.929
O3 0.389 0.087 0.704
O4 0.605 0.929 0.162
O5 0.704 0.389 0.087
O6 0.929 0.162 0.605

***

Record 2
A plane-wave DFT calculation with PBE-GGA was carried out for an optimized crystal structure of InPbCl2O.

Results
The calculation puts the density at 4.6 g/cm3. Its space group is P4/mmm (123). The calculation puts the energy relative to the elements, uncorrected at -0.35 eV per atom.

Cell: 6.086 6.086 4.024 Å, 90.00 90.00 90.00°
Positions (direct):
In1 0.000 0.000 0.000
Pb1 0.500 0.500 0.000
Cl1 0.000 0.500 0.500
Cl2 0.500 0.000 0.500
O1 0.500 0.500 0.500

***

Record 3
A plane-wave DFT calculation with PBE-GGA was carried out for an optimized crystal structure of Er2Ga5Ni3.

Results
The calculation puts the density at 8.7 g/cm3. The calculation puts the energy relative to the elements at -0.573 eV/atom. Its space group is Cmc2_1 (36). The value obtained for the offset from the most stable computed form is 31 meV per atom.

Cell: 12.195 12.195 6.539 Å, 90.00 90.00 160.35°
Positions (direct):
Er1 0.020 0.980 0.500
Er2 0.327 0.673 0.459
Er3 0.673 0.327 0.959
Er4 0.980 0.020 0.000
Ga1 0.100 0.900 0.148
Ga2 0.206 0.794 0.650
Ga3 0.211 0.789 0.251
Ga4 0.376 0.624 0.991
Ga5 0.448 0.552 0.320
Ga6 0.552 0.448 0.820
Ga7 0.624 0.376 0.491
Ga8 0.789 0.211 0.751
Ga9 0.794 0.206 0.150
Ga10 0.900 0.100 0.648
Ni1 0.108 0.892 0.764
Ni2 0.273 0.727 0.946
Ni3 0.449 0.551 0.712
Ni4 0.551 0.449 0.212
Ni5 0.727 0.273 0.446
Ni6 0.892 0.108 0.264

***

Record 4
A plane-wave DFT calculation with PBE-GGA was carried out for an optimized crystal structure of Cu2SnB.

Results
The calculation puts the density at 6.5 g/cm3. The calculation puts the energy relative to the elements at 0.531 eV/atom. Its space group is I-42d (122). The value obtained for the offset from the most stable computed form is 0 meV per atom.

Cell: 7.398 7.398 7.398 Å, 145.24 145.24 49.98°
Positions (direct):
Cu1 0.375 0.211 0.336
Cu2 0.789 0.125 0.164
Cu3 0.875 0.039 0.664
Cu4 0.961 0.625 0.836
Sn1 0.250 0.750 0.500
Sn2 0.500 0.500 0.000
B1 0.000 0.000 0.000
B2 0.750 0.250 0.500

***

Number 1: final energy -6.460 eV/atom. Number 2: final energy -3.369 eV/atom. Number 3: final energy -4.733 eV/atom. Number 4: final energy -4.188 eV/atom.